# Zn2AsPb

A relaxed Zn2AsPb crystal (PBE-GGA, the Alexandria database).

**N(E_F)**: 1.38 states/eV/cell
**Total moment**: 0.000 μB per cell
**Formation energy**: 0.37 eV/f.u.

Structure (CIF):
```
data_Zn2AsPb
_chemical_formula_sum 'Zn2 As1 Pb1'
_space_group_name_H-M_alt 'P 1 2/m 1'
_space_group_IT_number 10
_cell_length_a 4.916
_cell_length_b 3.896
_cell_length_c 5.081
_cell_angle_alpha 90.00
_cell_angle_beta 104.76
_cell_angle_gamma 90.00
loop_
_space_group_symop_operation_xyz
'x,y,z'
'-x,-y,-z'
'-x,y,-z'
'x,-y,z'
loop_
_atom_site_label
_atom_site_type_symbol
_atom_site_fract_x
_atom_site_fract_y
_atom_site_fract_z
_atom_site_occupancy
Zn1 Zn 0.163 0.000 0.257 1
As1 As 0.000 0.500 0.500 1
Pb1 Pb 0.500 0.500 0.000 1
```


# YGe3Sb

A relaxed YGe3Sb crystal (PBE-GGA, the Alexandria database).

**N(E_F)**: 4.77 states/eV/cell
**Uncorrected formation energy**: 0.750 eV per atom
**Total moment**: 0.000 μB per cell
**Energy above the most stable polymorph in this dataset**: 0.150 eV/atom

Structure (CIF):
```
data_YGe3Sb
_chemical_formula_sum 'Y1 Ge3 Sb1'
_space_group_name_H-M_alt 'P m -3 m'
_space_group_IT_number 221
_space_group_name_Hall '-P 4 2 3'
_cell_length_a 5.394
_cell_length_b 5.394
_cell_length_c 5.394
_cell_angle_alpha 90.00
_cell_angle_beta 90.00
_cell_angle_gamma 90.00
loop_
_atom_site_label
_atom_site_type_symbol
_atom_site_fract_x
_atom_site_fract_y
_atom_site_fract_z
_atom_site_occupancy
Y1 Y 0.000 0.000 0.000 1
Ge1 Ge 0.000 0.000 0.500 1
Sb1 Sb 0.500 0.500 0.500 1
```


# CsCd

A relaxed CsCd crystal (PBE-GGA, the Alexandria database).

**N(E_F)**: 8.51 states/eV/cell
**Total moment**: 0.000 μB per cell
**Formation energy**: -0.10 eV/f.u.

Structure (CIF):
```
data_CsCd
_chemical_formula_sum 'Cs6 Cd6'
_space_group_name_H-M_alt 'P 63/m'
_space_group_IT_number 176
_space_group_name_Hall '-P 6c'
_cell_length_a 12.9605
_cell_length_b 12.9605
_cell_length_c 5.1760
_cell_angle_alpha 90.00
_cell_angle_beta 90.00
_cell_angle_gamma 120.00
loop_
_atom_site_label
_atom_site_type_symbol
_atom_site_fract_x
_atom_site_fract_y
_atom_site_fract_z
_atom_site_occupancy
Cs1 Cs 0.1274 0.7185 0.2500 1
Cd1 Cd 0.0490 0.8898 0.7500 1
```


Q: What is the total moment in the second record?
A: 0.000 μB per cell